Record 1
## CoHRu2 (PBE)

Data for a relaxed structure of CoHRu2.

Calculated values
The value obtained for the energy above the most stable polymorph in this dataset is 297 meV/atom.

Lattice parameters (Å, degrees): 3.9695 3.9695 3.9695 60.00 60.00 60.00
With the nearest neighbours (Å) after each atom.
Fractional coordinates of all 4 atoms:
Co: 0.0000 0.0000 0.0000  8 Ru 2.43
H: 0.5000 0.5000 0.5000  8 Ru 2.43
Ru: 0.2500 0.2500 0.2500  4 H 2.43, 4 Co 2.43
Ru: 0.7500 0.7500 0.7500  4 Co 2.43, 4 H 2.43

Record 2
## Co2HRu2 (PBE)

Data for a relaxed structure of Co2HRu2.

Calculated values
The value obtained for the energy above the most stable polymorph in this dataset is 0 meV/atom.

Lattice parameters (Å, degrees): 5.1729 5.1729 4.2165 90.00 90.00 90.00
With the nearest neighbours (Å) after each atom.
Fractional coordinates of all 10 atoms:
Co: 0.1579 0.3421 0.0000  1 Co 2.31, 2 Ru 2.45
Co: 0.3421 0.8421 0.0000  1 Co 2.31, 2 Ru 2.45
Co: 0.6579 0.1579 0.0000  1 Co 2.31, 2 Ru 2.45
Co: 0.8421 0.6579 0.0000  1 Co 2.31, 2 Ru 2.45
H: 0.0000 0.0000 0.5000  4 Ru 1.92
H: 0.5000 0.5000 0.5000  4 Ru 1.92
Ru: 0.1721 0.6721 0.5000  2 H 1.92
Ru: 0.3279 0.1721 0.5000  2 H 1.92
Ru: 0.6721 0.8279 0.5000  2 H 1.92
Ru: 0.8279 0.3279 0.5000  2 H 1.92

Record 3
## CoH2Ru2 (PBE)

Data for a relaxed structure of CoH2Ru2.

Calculated values
The value obtained for the energy above the most stable polymorph in this dataset is 57 meV/atom.

Lattice parameters (Å, degrees): 5.5951 5.5951 2.8348 90.00 90.00 90.00
With the nearest neighbours (Å) after each atom.
Fractional coordinates of all 10 atoms:
Co: 0.0000 0.0000 0.0000  4 H 2.03
Co: 0.5000 0.5000 0.0000  4 H 2.03
H: 0.1920 0.3080 0.0000  2 Ru 1.86, 2 Co 2.03
H: 0.3080 0.8080 0.0000  2 Ru 1.86, 2 Co 2.03
H: 0.6920 0.1920 0.0000  2 Ru 1.86, 2 Co 2.03
H: 0.8080 0.6920 0.0000  2 Ru 1.86, 2 Co 2.03
Ru: 0.1557 0.6557 0.5000  2 H 1.86
Ru: 0.3443 0.1557 0.5000  2 H 1.86
Ru: 0.6557 0.8443 0.5000  2 H 1.86
Ru: 0.8443 0.3443 0.5000  2 H 1.86

Record 4
## Co2HRu (PBE)

Data for a relaxed structure of Co2HRu.

Calculated values
The value obtained for the energy above the most stable polymorph in this dataset is 701 meV/atom.

Lattice parameters (Å, degrees): 3.9389 3.9389 3.9389 60.00 60.00 60.00
With the nearest neighbours (Å) after each atom.
Fractional coordinates of all 4 atoms:
Co: 0.2500 0.2500 0.2500  4 H 2.41, 4 Ru 2.41
Co: 0.7500 0.7500 0.7500  4 H 2.41, 4 Ru 2.41
H: 0.0000 0.0000 0.0000  8 Co 2.41
Ru: 0.5000 0.5000 0.5000  8 Co 2.41

Record 5
## Co2HRu (PBE)

Data for a relaxed structure of Co2HRu.

Calculated values
The value obtained for the energy above the most stable polymorph in this dataset is 257 meV/atom.

Lattice parameters (Å, degrees): 4.7070 4.7070 4.7070 104.65 104.65 119.60
With the nearest neighbours (Å) after each atom.
Fractional coordinates of all 8 atoms:
Co: 0.0209 0.1250 0.3959  2 H 1.77
Co: 0.3750 0.9791 0.1041  2 H 1.77
Co: 0.7291 0.6250 0.6041  2 H 1.77
Co: 0.8750 0.2709 0.8959  2 H 1.77
H: 0.0000 0.0000 0.0000  4 Co 1.77
H: 0.7500 0.2500 0.5000  4 Co 1.77
Ru: 0.2500 0.7500 0.5000  2 H 2.37, 8 Co 2.43-2.56
Ru: 0.5000 0.5000 0.0000  2 H 2.37, 8 Co 2.43-2.56

Record 6
## Co2HRu2 (PBE)

Data for a relaxed structure of Co2HRu2.

Calculated values
The value obtained for the energy above the most stable polymorph in this dataset is 567 meV/atom.

Lattice parameters (Å, degrees): 6.7059 6.7059 6.7059 153.36 153.36 38.04
With the nearest neighbours (Å) after each atom.
Fractional coordinates of all 5 atoms:
Co: 0.2500 0.7500 0.5000  4 Co 2.19
Co: 0.7500 0.2500 0.5000  4 Co 2.19
H: 0.0000 0.0000 0.0000  8 Ru 2.48
Ru: 0.4073 0.4073 0.0000  1 Ru 2.35, 4 H 2.48, 4 Co 2.52
Ru: 0.5927 0.5927 0.0000  1 Ru 2.35, 4 H 2.48, 4 Co 2.52

DFT total energy per entry: -6.627 -6.906 -6.172 -5.932 -6.376 -6.339 eV/atom